VASP calculation (GGA-PBE) on crystalline CsLiSb2Te at its relaxed geometry.

Output
Calculated total energy (eV/atom): -2.91
DOS(E_F) (states/eV/cell): 3.13

Unit cell a=5.309 b=5.309 c=5.632 alpha=90.00 beta=90.00 gamma=90.00
Fractional coordinates of all 5 atoms:
Cs (0.500, 0.500, 0.500)
Sb (0.000, 0.500, 0.000)
Sb (0.500, 0.000, 0.000)
Te (0.000, 0.000, 0.500)
Li (0.000, 0.000, 0.000)

VASP calculation (GGA-PBE) on crystalline CsLiTlSb at its relaxed geometry.

Output
Calculated total energy (eV/atom): -2.72

Unit cell a=4.852 b=4.851 c=7.814 alpha=108.07 beta=90.00 gamma=120.01
Fractional coordinates of all 4 atoms:
Cs (0.625, 0.249, 0.516)
Li (0.426, 0.852, 0.919)
Tl (0.830, 0.660, 0.133)
Sb (0.086, 0.172, 0.899)

VASP calculation (GGA-PBE) on crystalline CsLiTl2Sb at its relaxed geometry.

Output
Calculated total energy (eV/atom): -2.45
DOS(E_F) (states/eV/cell): 2.74

Unit cell a=5.679 b=5.679 c=5.313 alpha=90.00 beta=90.00 gamma=90.00
Fractional coordinates of all 5 atoms:
Cs (0.500, 0.500, 0.500)
Sb (0.000, 0.000, 0.500)
Tl (0.000, 0.500, 0.000)
Tl (0.500, 0.000, 0.000)
Li (0.000, 0.000, 0.000)

VASP calculation (GGA-PBE) on crystalline Cs2LiZnSb2 at its relaxed geometry.

Output
Calculated total energy (eV/atom): -2.60
DOS(E_F) (states/eV/cell): 8.03

Unit cell a=7.034 b=7.055 c=10.006 alpha=110.64 beta=110.58 gamma=90.00
Fractional coordinates of all 12 atoms:
Cs (0.408, 0.167, 0.334)
Cs (0.592, 0.833, 0.666)
Cs (0.074, 0.333, 0.666)
Cs (0.926, 0.667, 0.334)
Li (0.000, 0.750, 0.000)
Li (0.000, 0.250, 0.000)
Zn (0.500, 0.750, 0.000)
Zn (0.500, 0.250, 0.000)
Sb (0.812, 0.081, 0.161)
Sb (0.350, 0.581, 0.161)
Sb (0.650, 0.419, 0.839)
Sb (0.188, 0.919, 0.839)

VASP calculation (GGA-PBE) on crystalline CsLi2Zn2Sb2 at its relaxed geometry.

Output
Calculated total energy (eV/atom): -2.64
DOS(E_F) (states/eV/cell): 2.09

Unit cell a=4.556 b=4.556 c=10.485 alpha=102.55 beta=90.00 gamma=120.00
Fractional coordinates of all 7 atoms:
Cs (0.000, 0.000, 0.000)
Li (0.145, 0.289, 0.434)
Li (0.855, 0.711, 0.566)
Zn (0.544, 0.088, 0.632)
Zn (0.456, 0.912, 0.368)
Sb (0.761, 0.522, 0.283)
Sb (0.239, 0.478, 0.717)

VASP calculation (GGA-PBE) on crystalline CsLiSc3 at its relaxed geometry.

Output
Energy of formation from the pure elements (meV/atom): 797
DOS(E_F) (states/eV/cell): 5.20

Unit cell a=5.364 b=5.364 c=5.364 alpha=90.00 beta=90.00 gamma=90.00
Fractional coordinates of all 5 atoms:
Cs (0.500, 0.500, 0.500)
Sc (0.000, 0.500, 0.000)
Sc (0.000, 0.000, 0.500)
Sc (0.500, 0.000, 0.000)
Li (0.000, 0.000, 0.000)

VASP calculation (GGA-PBE) on crystalline CsLiSc2 at its relaxed geometry.

Output
Energy of formation from the pure elements (meV/atom): 822
DOS(E_F) (states/eV/cell): 3.86

Unit cell a=5.418 b=5.418 c=5.418 alpha=60.00 beta=60.00 gamma=60.00
Fractional coordinates of all 4 atoms:
Cs (0.500, 0.500, 0.500)
Sc (0.250, 0.250, 0.250)
Sc (0.750, 0.750, 0.750)
Li (0.000, 0.000, 0.000)

VASP calculation (GGA-PBE) on crystalline CsLiSc3 at its relaxed geometry.

Output
Energy of formation from the pure elements (meV/atom): 1369
DOS(E_F) (states/eV/cell): 4.78

Unit cell a=5.373 b=5.373 c=5.373 alpha=90.00 beta=90.00 gamma=90.00
Fractional coordinates of all 5 atoms:
Cs (0.000, 0.000, 0.000)
Sc (0.000, 0.500, 0.000)
Sc (0.000, 0.000, 0.500)
Sc (0.500, 0.000, 0.000)
Li (0.500, 0.500, 0.500)

VASP calculation (GGA-PBE) on crystalline Cs3LiSc at its relaxed geometry.

Output
Energy of formation from the pure elements (meV/atom): 768
DOS(E_F) (states/eV/cell): 39.53

Unit cell a=7.296 b=7.296 c=7.296 alpha=90.00 beta=90.00 gamma=90.00
Fractional coordinates of all 5 atoms:
Cs (0.000, 0.500, 0.000)
Cs (0.000, 0.000, 0.500)
Cs (0.500, 0.000, 0.000)
Sc (0.500, 0.500, 0.500)
Li (0.000, 0.000, 0.000)

VASP calculation (GGA-PBE) on crystalline Cs2LiSc at its relaxed geometry.

Output
Energy of formation from the pure elements (meV/atom): 795
DOS(E_F) (states/eV/cell): 11.92

Unit cell a=8.552 b=8.552 c=8.552 alpha=101.38 beta=101.38 gamma=127.26
Fractional coordinates of all 8 atoms:
Cs (0.625, 0.154, 0.029)
Cs (0.125, 0.596, 0.971)
Cs (0.846, 0.875, 0.471)
Cs (0.404, 0.375, 0.529)
Li (0.500, 0.500, 0.000)
Li (0.750, 0.250, 0.500)
Sc (0.000, 0.000, 0.000)
Sc (0.250, 0.750, 0.500)

VASP calculation (GGA-PBE) on crystalline Cs2LiSc at its relaxed geometry.

Output
Energy of formation from the pure elements (meV/atom): 748
DOS(E_F) (states/eV/cell): 6.98

Unit cell a=6.861 b=6.861 c=6.861 alpha=60.00 beta=60.00 gamma=60.00
Fractional coordinates of all 4 atoms:
Cs (0.250, 0.250, 0.250)
Cs (0.750, 0.750, 0.750)
Sc (0.500, 0.500, 0.500)
Li (0.000, 0.000, 0.000)

VASP calculation (GGA-PBE) on crystalline CsLiSc2Se4 at its relaxed geometry.

Output
Calculated total energy (eV/atom): -5.18

Unit cell a=4.085 b=7.286 c=14.260 alpha=90.00 beta=90.00 gamma=106.28
Fractional coordinates of all 16 atoms:
Cs (0.108, 0.215, 0.750)
Cs (0.892, 0.785, 0.250)
Li (0.822, 0.645, 0.750)
Li (0.178, 0.355, 0.250)
Sc (0.366, 0.732, 0.562)
Sc (0.634, 0.268, 0.062)
Sc (0.634, 0.268, 0.438)
Sc (0.366, 0.732, 0.938)
Se (0.257, 0.514, 0.097)
Se (0.743, 0.486, 0.597)
Se (0.743, 0.486, 0.903)
Se (0.257, 0.514, 0.403)
Se (0.000, 0.000, 0.500)
Se (0.000, 0.000, 0.000)
Se (0.414, 0.827, 0.750)
Se (0.586, 0.173, 0.250)